A plane-wave DFT calculation with GGA-PBE was carried out for an optimized crystal structure of Bi4Pd.

Output
Electronic total energy   -19.48 eV for the cell shown
Excess energy over the best structure of this formula in the dataset   316 meV per atom
E_form   0.25 eV per atom
Size of the total moment   0.00 μB per cell

Cell and atoms, written as CIF:
```
data_Bi4Pd
_cell_length_a 5.418
_cell_length_b 5.418
_cell_length_c 5.418
_cell_angle_alpha 90.00
_cell_angle_beta 90.00
_cell_angle_gamma 90.00
_space_group_name_H-M_alt 'P m -3 m'
_space_group_IT_number 221
_space_group_name_Hall '-P 4 2 3'
loop_
_atom_site_label
_atom_site_fract_x
_atom_site_fract_y
_atom_site_fract_z
Bi1 0.000 0.000 0.000
Bi2 0.000 0.500 0.500
Pd1 0.500 0.500 0.500
```

A plane-wave DFT calculation with GGA-PBE was carried out for an optimized crystal structure of Bi4Pd.

Output
Electronic total energy   -84.25 eV for the cell shown
Excess energy over the best structure of this formula in the dataset   0 meV per atom
E_form   -0.07 eV per atom
Size of the total moment   0.00 μB per cell

Cell and atoms, written as CIF:
```
data_Bi4Pd
_cell_length_a 6.782
_cell_length_b 13.189
_cell_length_c 7.482
_cell_angle_alpha 90.00
_cell_angle_beta 106.34
_cell_angle_gamma 90.00
_space_group_name_H-M_alt 'C 1 2/c 1'
_space_group_IT_number 15
loop_
_space_group_symop_operation_xyz
'x,y,z'
'-x,-y,-z'
'-x,y,-z+1/2'
'x,-y,z+1/2'
'x+1/2,y+1/2,z'
'-x+1/2,-y+1/2,-z'
'-x+1/2,y+1/2,-z+1/2'
'x+1/2,-y+1/2,z+1/2'
loop_
_atom_site_label
_atom_site_fract_x
_atom_site_fract_y
_atom_site_fract_z
Bi1 0.234 0.227 0.296
Bi2 0.242 0.056 0.875
Pd1 0.000 0.427 0.750
```

A plane-wave DFT calculation with GGA-PBE was carried out for an optimized crystal structure of Bi4Pd5.

Output
Electronic total energy   -87.19 eV for the cell shown
E_form   -0.23 eV per atom
Size of the total moment   0.00 μB per cell

Cell and atoms, written as CIF:
```
data_Bi4Pd5
_cell_length_a 10.250
_cell_length_b 10.250
_cell_length_c 4.058
_cell_angle_alpha 90.00
_cell_angle_beta 90.00
_cell_angle_gamma 90.00
_space_group_name_H-M_alt 'I 4/m'
_space_group_IT_number 87
_space_group_name_Hall '-I 4'
loop_
_atom_site_label
_atom_site_fract_x
_atom_site_fract_y
_atom_site_fract_z
Bi1 0.094 0.268 0.000
Pd1 0.000 0.000 0.000
Pd2 0.081 0.819 0.500
```

A plane-wave DFT calculation with GGA-PBE was carried out for an optimized crystal structure of BiPd.

Output
Electronic total energy   -37.41 eV for the cell shown
E_form   -0.14 eV per atom
Size of the total moment   0.00 μB per cell

Cell and atoms, written as CIF:
```
data_BiPd
_cell_length_a 5.673
_cell_length_b 5.673
_cell_length_c 5.787
_cell_angle_alpha 90.00
_cell_angle_beta 90.00
_cell_angle_gamma 90.00
_space_group_name_H-M_alt 'P 42/m n m'
_space_group_IT_number 136
_space_group_name_Hall '-P 4n 2n'
loop_
_atom_site_label
_atom_site_fract_x
_atom_site_fract_y
_atom_site_fract_z
Bi1 0.214 0.214 0.000
Pd1 0.204 0.204 0.500
```

A plane-wave DFT calculation with GGA-PBE was carried out for an optimized crystal structure of BiPd5.

Output
Electronic total energy   -61.87 eV for the cell shown
E_form   -0.18 eV per atom
Size of the total moment   0.00 μB per cell

Cell and atoms, written as CIF:
```
data_BiPd5
_cell_length_a 4.184
_cell_length_b 11.804
_cell_length_c 4.098
_cell_angle_alpha 90.00
_cell_angle_beta 90.00
_cell_angle_gamma 90.00
_space_group_name_H-M_alt 'C m m m'
_space_group_IT_number 65
_space_group_name_Hall '-C 2 2'
loop_
_atom_site_label
_atom_site_fract_x
_atom_site_fract_y
_atom_site_fract_z
Bi1 0.000 0.000 0.000
Pd1 0.000 0.170 0.500
Pd2 0.000 0.331 0.000
Pd3 0.000 0.500 0.500
```

A plane-wave DFT calculation with GGA-PBE was carried out for an optimized crystal structure of BiPd.

Output
Electronic total energy   -35.35 eV for the cell shown
E_form   0.12 eV per atom
Size of the total moment   0.00 μB per cell

Cell and atoms, written as CIF:
```
data_BiPd
_cell_length_a 6.209
_cell_length_b 6.209
_cell_length_c 6.209
_cell_angle_alpha 90.00
_cell_angle_beta 90.00
_cell_angle_gamma 90.00
_space_group_name_H-M_alt 'F -4 3 m'
_space_group_IT_number 216
_space_group_name_Hall 'F -4 2 3'
loop_
_atom_site_label
_atom_site_fract_x
_atom_site_fract_y
_atom_site_fract_z
Bi1 0.000 0.000 0.000
Pd1 0.250 0.250 0.250
```

A plane-wave DFT calculation with GGA-PBE was carried out for an optimized crystal structure of BiPd.

Output
Electronic total energy   -56.57 eV for the cell shown
E_form   -0.18 eV per atom
Size of the total moment   0.00 μB per cell

Cell and atoms, written as CIF:
```
data_BiPd
_cell_length_a 3.558
_cell_length_b 14.048
_cell_length_c 5.657
_cell_angle_alpha 90.00
_cell_angle_beta 90.00
_cell_angle_gamma 90.00
_space_group_name_H-M_alt 'I m m 2'
_space_group_IT_number 44
loop_
_space_group_symop_operation_xyz
'x,y,z'
'-x,-y,z'
'-x,y,z'
'x,-y,z'
'x+1/2,y+1/2,z+1/2'
'-x+1/2,-y+1/2,z+1/2'
'-x+1/2,y+1/2,z+1/2'
'x+1/2,-y+1/2,z+1/2'
loop_
_atom_site_label
_atom_site_fract_x
_atom_site_fract_y
_atom_site_fract_z
Bi1 0.000 0.000 0.000
Bi2 0.000 0.315 0.085
Pd1 0.000 0.341 0.582
Pd2 0.000 0.500 0.908
```

A plane-wave DFT calculation with GGA-PBE was carried out for an optimized crystal structure of BiPd.

Output
Electronic total energy   -75.36 eV for the cell shown
E_form   -0.17 eV per atom
Size of the total moment   0.00 μB per cell

Cell and atoms, written as CIF:
```
data_BiPd
_cell_length_a 5.479
_cell_length_b 7.174
_cell_length_c 9.490
_cell_angle_alpha 90.00
_cell_angle_beta 90.00
_cell_angle_gamma 90.00
_space_group_name_H-M_alt 'P 21 21 21'
_space_group_IT_number 19
loop_
_space_group_symop_operation_xyz
'x,y,z'
'-x+1/2,-y,z+1/2'
'x+1/2,-y+1/2,-z'
'-x,y+1/2,-z+1/2'
loop_
_atom_site_label
_atom_site_fract_x
_atom_site_fract_y
_atom_site_fract_z
Bi1 0.115 0.187 0.164
Bi2 0.196 0.378 0.562
Pd1 0.034 0.569 0.804
Pd2 0.195 0.999 0.424
```